DFT (PBE) results for a geometry-optimized HgPd2Rh structure.

Symmetry: P4/mmm, No. 123
ΔE_f in eV per atom: 0.089

abc: 2.9106 4.7541 4.7541
angles: 90.00 90.00 90.00
Atoms (fractional coordinates):
1 Rh 0.5000 0.0000 0.0000
2 Hg 0.5000 0.5000 0.5000
3 Pd 0.0000 0.0000 0.5000
4 Pd 0.0000 0.5000 0.0000